A.
LaZrCl | the Alexandria database | PBE | optimized geometry; total magnetic moment = 0.000 Bohr magnetons per cell; symmetry = C2/m
1.0
4.993 -2.825 0.000
4.993 2.825 0.000
-2.708 0.000 5.640
La Zr Cl
2 2 2
Direct
0.090 0.090 0.316
0.910 0.910 0.684
0.311 0.311 0.007
0.689 0.689 0.993
0.411 0.411 0.672
0.589 0.589 0.328

---

B.
LaZrCl | the Alexandria database | PBE | optimized geometry; total magnetic moment = 0.000 Bohr magnetons per cell; symmetry = P1
1.0
3.949 0.000 0.000
0.010 3.983 0.000
0.459 0.047 10.351
La Zr Cl
2 2 2
Direct
0.000 0.000 0.000
0.458 0.494 0.459
0.076 0.008 0.676
0.574 0.508 0.782
0.490 0.499 0.071
0.965 0.995 0.303

---

Of them, the most stable is B and the least stable is A.

---

A.
CsEr2Cl7 | the Alexandria database | PBE | optimized geometry; total magnetic moment = 0.000 Bohr magnetons per cell; symmetry = Pnma
1.0
14.426 0.000 0.000
0.000 6.965 0.000
0.000 0.000 12.625
Cs Er Cl
4 8 28
Direct
0.031 0.250 0.207
0.469 0.750 0.707
0.531 0.250 0.293
0.969 0.750 0.793
0.244 0.250 0.551
0.248 0.250 0.854
0.252 0.750 0.354
0.256 0.750 0.051
0.744 0.250 0.949
0.748 0.250 0.646
0.752 0.750 0.146
0.756 0.750 0.449
0.119 0.750 0.202
0.136 0.010 0.436
0.136 0.490 0.436
0.138 0.010 0.969
0.138 0.490 0.969
0.182 0.012 0.703
0.182 0.488 0.703
0.318 0.512 0.203
0.318 0.988 0.203
0.362 0.510 0.469
0.362 0.990 0.469
0.364 0.510 0.936
0.364 0.990 0.936
0.381 0.250 0.702
0.619 0.750 0.298
0.636 0.010 0.064
0.636 0.490 0.064
0.638 0.010 0.531
0.638 0.490 0.531
0.682 0.012 0.797
0.682 0.488 0.797
0.818 0.512 0.297
0.818 0.988 0.297
0.862 0.510 0.031
0.862 0.990 0.031
0.864 0.510 0.564
0.864 0.990 0.564
0.881 0.250 0.798

---

B.
CsEr2Cl7 | the Alexandria database | PBE | optimized geometry; total magnetic moment = 0.000 Bohr magnetons per cell; symmetry = Cmmm
1.0
4.213 -6.902 0.000
4.213 6.902 0.000
0.000 0.000 5.284
Cs Er Cl
1 2 7
Direct
0.000 0.000 0.000
0.304 0.696 0.500
0.696 0.304 0.500
0.046 0.331 0.500
0.299 0.701 0.000
0.331 0.046 0.500
0.500 0.500 0.500
0.669 0.954 0.500
0.701 0.299 0.000
0.954 0.669 0.500

---

Of them, the most stable is A and the least stable is B.

---

A.
In2FeOs | the Alexandria database | PBE | optimized geometry; total magnetic moment = 3.446 Bohr magnetons per cell; symmetry = I-4m2
1.0
-2.006 2.006 4.265
2.006 -2.006 4.265
2.006 2.006 -4.265
In Fe Os
2 1 1
Direct
0.000 0.000 0.000
0.750 0.250 0.500
0.500 0.500 0.000
0.250 0.750 0.500

---

B.
In2FeOs | the Alexandria database | PBE | optimized geometry; total magnetic moment = 2.286 Bohr magnetons per cell; symmetry = Cmmm
1.0
1.572 -2.490 0.000
1.572 2.490 0.000
0.000 0.000 8.871
In Fe Os
2 1 1
Direct
0.000 0.000 0.245
0.000 0.000 0.755
0.500 0.500 0.000
0.500 0.500 0.500

---

Of them, the most stable is A and the least stable is B.

---

A.
Sr2ReRh | the Alexandria database | PBE | optimized geometry; total magnetic moment = 0.000 Bohr magnetons per cell; symmetry = P2/m
1.0
3.000 0.000 0.000
0.000 4.448 0.000
-0.048 0.000 6.915
Sr Re Rh
2 1 1
Direct
0.004 0.000 0.258
0.996 0.000 0.742
0.500 0.500 0.000
0.500 0.500 0.500

---

B.
Sr2ReRh | the Alexandria database | PBE | optimized geometry; total magnetic moment = 2.865 Bohr magnetons per cell; symmetry = F-43m
1.0
0.000 3.593 3.593
3.593 0.000 3.593
3.593 3.593 0.000
Sr Re Rh
2 1 1
Direct
0.000 0.000 0.000
0.250 0.250 0.250
0.750 0.750 0.750
0.500 0.500 0.500

---

Of them, the most stable is A and the least stable is B.